First-principles (GGA-PBE) data for a relaxed structure of La5Pm2Sc2, as listed in the Alexandria database.

Results
Volume   33.411 A^3/atom
E_tot   -5.09 eV per atom

a = 3.500 Å, b = 11.963 Å, c = 10.251 Å
α = 45.36°, β = 80.17°, γ = 81.59°
Element x y z (fractional)
La1 0.336 0.994 0.334
La2 0.664 0.006 0.666
La3 0.219 0.352 0.210
La4 0.781 0.648 0.790
La5 0.000 0.000 0.000
Pm1 0.055 0.340 0.549
Pm2 0.945 0.660 0.451
Sc1 0.402 0.346 0.850
Sc2 0.598 0.654 0.150